# 1
GGA-PBE ReNi2Hg2, optimized geometry; density of states at the Fermi level = 4.28 states/eV/f.u.; relative energy among the computed polymorphs = 0.000 eV/atom
1.0
7.5128 0.0000 0.0000
0.0000 7.5128 0.0000
0.0000 0.0000 2.8196
Re Hg Ni
2 4 4
Cartesian
0.0000 0.0000 0.0000
3.7564 3.7564 0.0000
2.7429 6.4993 0.0000
6.4993 4.7698 0.0000
4.7698 1.0134 0.0000
1.0134 2.7429 0.0000
1.2593 5.0157 1.4098
5.0157 6.2534 1.4098
6.2534 2.4971 1.4098
2.4971 1.2593 1.4098

---

# 2
GGA-PBE SrHgAs3, optimized geometry; density of states at the Fermi level = 4.21 states/eV/f.u.; relative energy among the computed polymorphs = 0.000 eV/atom
1.0
5.2670 0.0000 0.0000
0.0000 5.2670 0.0000
0.0000 0.0000 5.2670
Sr As Hg
1 3 1
Cartesian
2.6335 2.6335 2.6335
0.0000 2.6335 0.0000
0.0000 0.0000 2.6335
2.6335 0.0000 0.0000
0.0000 0.0000 0.0000

---

# 3
GGA-PBE Cs2RbLiI, optimized geometry; density of states at the Fermi level = 2.86 states/eV/f.u.; raw formation energy = -0.402 eV per atom
1.0
-5.3398 -0.4030 5.9829
-4.0642 -5.6473 -4.0077
3.1423 -4.0578 2.5312
Cs I Rb Li
2 1 1 1
Cartesian
-2.0321 -2.8237 -2.0039
-2.6699 -0.2015 2.9915
0.0000 0.0000 0.0000
-3.1308 -5.0540 2.2532
1.5712 -2.0289 1.2656

---

# 4
GGA-PBE Tb6Pr8Sc, optimized geometry; density of states at the Fermi level = 23.24 states/eV/f.u.
1.0
7.9003 0.1148 3.8077
2.4391 7.5152 3.8077
0.1556 0.1148 8.7686
Tb Pr Sc
6 8 1
Cartesian
8.3692 3.6216 11.8097
2.2459 0.8155 6.0610
4.9031 1.9056 3.8436
5.5919 5.8392 12.5404
8.2490 6.9294 10.3231
2.1257 4.1232 4.5744
2.7522 5.4845 9.7768
4.1443 6.7321 6.7985
2.9750 1.9752 9.7961
6.0693 4.4790 9.4751
4.4256 3.2659 6.9090
7.5199 5.7697 6.5880
6.3506 1.0128 9.5856
7.7428 2.2604 6.6073
0.0000 0.0000 0.0000

---

In the order shown, the computed raw total energy values come out to -4.17; -2.96; -1.63; -4.70 eV/atom.